Record 1
A relaxed structure of Pr5GeTe5. Source: the Alexandria database, functional PBE.

Structure (CIF):
```
data_Pr5GeTe5
_chemical_formula_sum 'Pr10 Ge2 Te10'
_cell_length_a 14.2621
_cell_length_b 6.3575
_cell_length_c 8.9538
_cell_angle_alpha 90.00
_cell_angle_beta 108.55
_cell_angle_gamma 90.00
_symmetry_space_group_name_H-M 'C 1 2/m 1'
_symmetry_Int_Tables_number 12
_symmetry_space_group_name_Hall '-C 2y'
loop_
_atom_site_label
_atom_site_type_symbol
_atom_site_fract_x
_atom_site_fract_y
_atom_site_fract_z
Pr1 Pr 0.0000 0.0000 0.0000
Pr2 Pr 0.1574 0.5000 0.8374
Pr3 Pr 0.1581 0.5000 0.3212
Ge1 Ge 0.0000 0.5000 0.0000
Te1 Te 0.0000 0.5000 0.5000
Te2 Te 0.1649 0.0000 0.8276
Te3 Te 0.1701 0.0000 0.3355
```

Summary:
As for the calculated total energy: -119.0 eV per cell. As for the volume: 35.0 Å³ per atom. Its uncorrected formation energy is -1388 meV/atom.

***

Record 2
A relaxed structure of PrGeTe3. Source: the Alexandria database, functional PBE.

Structure (CIF):
```
data_PrGeTe3
_chemical_formula_sum 'Pr4 Ge4 Te12'
_cell_length_a 5.7281
_cell_length_b 11.7483
_cell_length_c 10.0582
_cell_angle_alpha 90.00
_cell_angle_beta 90.00
_cell_angle_gamma 90.00
_symmetry_space_group_name_H-M 'I m m a'
_symmetry_Int_Tables_number 74
_symmetry_space_group_name_Hall '-I 2b 2'
loop_
_atom_site_label
_atom_site_type_symbol
_atom_site_fract_x
_atom_site_fract_y
_atom_site_fract_z
Pr1 Pr 0.0000 0.0000 0.0000
Ge1 Ge 0.0000 0.2500 0.4857
Te1 Te 0.0000 0.0637 0.6558
Te2 Te 0.0000 0.2500 0.1091
```

Summary:
As for the calculated total energy: -87.0 eV per cell. As for the volume: 33.8 Å³ per atom. Its uncorrected formation energy is -588 meV/atom. As for the energy relative to the lowest polymorph listed for this composition: 123 meV per atom.

***

Record 3
A relaxed structure of Pr2GeTe. Source: the Alexandria database, functional PBE.

Structure (CIF):
```
data_Pr2GeTe
_chemical_formula_sum 'Pr6 Ge3 Te3'
_cell_length_a 4.3821
_cell_length_b 4.3821
_cell_length_c 22.8560
_cell_angle_alpha 90.00
_cell_angle_beta 90.00
_cell_angle_gamma 120.00
_symmetry_space_group_name_H-M 'R 3 m'
_symmetry_Int_Tables_number 160
_symmetry_space_group_name_Hall 'R 3 -2"'
loop_
_atom_site_label
_atom_site_type_symbol
_atom_site_fract_x
_atom_site_fract_y
_atom_site_fract_z
Pr1 Pr 0.0000 0.0000 0.0000
Pr2 Pr 0.0000 0.0000 0.1873
Ge1 Ge 0.0000 0.0000 0.5945
Te1 Te 0.0000 0.0000 0.4257
```

Summary:
As for the calculated total energy: -65.7 eV per cell. As for the volume: 31.7 Å³ per atom. Its uncorrected formation energy is -1149 meV/atom. As for the energy relative to the lowest polymorph listed for this composition: 66 meV per atom.

***

Record 4
A relaxed structure of Pr5Ge2Te2. Source: the Alexandria database, functional PBE.

Structure (CIF):
```
data_Pr5Ge2Te2
_chemical_formula_sum 'Pr20 Ge8 Te8'
_cell_length_a 15.8754
_cell_length_b 8.1888
_cell_length_c 8.2353
_cell_angle_alpha 90.00
_cell_angle_beta 90.00
_cell_angle_gamma 90.00
_symmetry_space_group_name_H-M 'C m c e'
_symmetry_Int_Tables_number 64
_symmetry_space_group_name_Hall '-C 2ac 2'
loop_
_atom_site_label
_atom_site_type_symbol
_atom_site_fract_x
_atom_site_fract_y
_atom_site_fract_z
Pr1 Pr 0.0000 0.0000 0.0000
Pr2 Pr 0.1274 0.1666 0.3341
Ge1 Ge 0.0000 0.1340 0.6326
Te1 Te 0.2040 0.0000 0.0000
```

Summary:
As for the calculated total energy: -196.6 eV per cell. As for the volume: 29.7 Å³ per atom. Its uncorrected formation energy is -1082 meV/atom.

***

Record 5
A relaxed structure of Pr3GeTe6. Source: the Alexandria database, functional PBE.

Structure (CIF):
```
data_Pr3GeTe6
_chemical_formula_sum 'Pr12 Ge4 Te24'
_cell_length_a 12.4127
_cell_length_b 15.3737
_cell_length_c 7.5263
_cell_angle_alpha 90.00
_cell_angle_beta 90.00
_cell_angle_gamma 90.00
_symmetry_space_group_name_H-M 'C m c 21'
_symmetry_Int_Tables_number 36
_symmetry_space_group_name_Hall 'C 2c -2'
loop_
_atom_site_label
_atom_site_type_symbol
_atom_site_fract_x
_atom_site_fract_y
_atom_site_fract_z
Pr1 Pr 0.0000 0.0950 0.0000
Pr2 Pr 0.1816 0.4035 0.1124
Ge1 Ge 0.0000 0.2995 0.6506
Te1 Te 0.0000 0.2775 0.2796
Te2 Te 0.0000 0.4652 0.8034
Te3 Te 0.1627 0.0377 0.3046
Te4 Te 0.1714 0.2341 0.8339
```

Summary:
As for the calculated total energy: -194.0 eV per cell. As for the volume: 35.9 Å³ per atom. Its uncorrected formation energy is -1069 meV/atom.

***

Record 6
A relaxed structure of PrThGeTe. Source: the Alexandria database, functional PBE.

Structure (CIF):
```
data_PrThGeTe
_chemical_formula_sum 'Pr3 Th3 Ge3 Te3'
_cell_length_a 4.3858
_cell_length_b 4.3858
_cell_length_c 22.0949
_cell_angle_alpha 90.00
_cell_angle_beta 90.00
_cell_angle_gamma 120.00
_symmetry_space_group_name_H-M 'R 3 m'
_symmetry_Int_Tables_number 160
_symmetry_space_group_name_Hall 'R 3 -2"'
loop_
_atom_site_label
_atom_site_type_symbol
_atom_site_fract_x
_atom_site_fract_y
_atom_site_fract_z
Pr1 Pr 0.0000 0.0000 0.0000
Th1 Th 0.0000 0.0000 0.5197
Ge1 Ge 0.0000 0.0000 0.2578
Te1 Te 0.0000 0.0000 0.7611
```

Summary:
As for the calculated total energy: -73.4 eV per cell. As for the volume: 30.7 Å³ per atom. Its uncorrected formation energy is -1125 meV/atom.